This record from Alexandria via LeMat-Bulk describes a relaxed structure of ZrNiIr2. The functional is GGA-PBE.

```
ZrNiIr2
1.0
3.0341 0.0000 0.0000
0.0000 3.5345 0.0000
0.0000 0.0000 5.7712
Zr Ni Ir
1 1 2
Cartesian
0.0000 0.0000 0.0000 Zr
0.0000 0.0000 2.8856 Ni
1.5171 1.7672 1.5804 Ir
1.5171 1.7672 4.1908 Ir
```

## Properties
Space-group type = Pmmm (47)
Magnetization = 0.8 μB/f.u.
Density = 14.34 g/cm³
VASP energy = -8.398 eV per atom

=====

This record from Alexandria via LeMat-Bulk describes a relaxed structure of Zr2Ni4Ir. The functional is GGA-PBE.

```
Zr2Ni4Ir
1.0
3.4618 0.0000 0.0000
0.0000 3.4618 0.0000
0.0000 0.0000 17.1143
Zr Ni Ir
4 8 2
Cartesian
0.0000 0.0000 1.6782 Zr
0.0000 0.0000 15.4361 Zr
1.7309 1.7309 6.8790 Zr
1.7309 1.7309 10.2354 Zr
0.0000 0.0000 5.9450 Ni
0.0000 0.0000 11.1693 Ni
0.0000 1.7309 4.2786 Ni
0.0000 1.7309 12.8357 Ni
1.7309 0.0000 4.2786 Ni
1.7309 0.0000 12.8357 Ni
1.7309 1.7309 2.6121 Ni
1.7309 1.7309 14.5022 Ni
0.0000 0.0000 8.5572 Ir
1.7309 1.7309 0.0000 Ir
```

## Properties
Space-group type = I4/mmm (139)
Magnetization = 0.0 μB/f.u.
Density = 9.87 g/cm³
VASP energy = -7.424 eV per atom

=====

This record from Alexandria via LeMat-Bulk describes a relaxed structure of ZrNiIr2. The functional is GGA-PBE.

```
ZrNiIr2
1.0
2.8230 0.0000 0.0000
-1.4115 2.4448 0.0000
0.0000 0.0000 26.7221
Zr Ni Ir
3 3 6
Cartesian
0.0000 0.0000 0.0000 Zr
0.0000 1.6299 17.8147 Zr
1.4115 0.8149 8.9073 Zr
0.0000 0.0000 13.3610 Ni
0.0000 1.6299 4.4537 Ni
1.4115 0.8149 22.2684 Ni
0.0000 0.0000 6.4786 Ir
0.0000 0.0000 20.2435 Ir
0.0000 1.6299 11.3362 Ir
0.0000 1.6299 24.2932 Ir
1.4115 0.8149 2.4288 Ir
1.4115 0.8149 15.3859 Ir
```

## Properties
Space-group type = R-3m (166)
Magnetization = 0.8 μB/f.u.
Density = 14.43 g/cm³
VASP energy = -8.026 eV per atom

=====

This record from Alexandria via LeMat-Bulk describes a relaxed structure of ZrNiIr2. The functional is GGA-PBE.

```
ZrNiIr2
1.0
3.9012 0.0000 0.0000
0.0000 3.9012 0.0000
0.0000 0.0000 8.0186
Zr Ni Ir
2 2 4
Cartesian
0.0000 0.0000 0.0000 Zr
1.9506 1.9506 4.0093 Zr
0.0000 1.9506 2.0046 Ni
1.9506 0.0000 6.0139 Ni
0.0000 0.0000 4.0093 Ir
0.0000 1.9506 6.0139 Ir
1.9506 0.0000 2.0046 Ir
1.9506 1.9506 0.0000 Ir
```

## Properties
Space-group type = I-4m2 (119)
Magnetization = 0.0 μB/f.u.
Density = 14.54 g/cm³
VASP energy = -8.464 eV per atom

=====

This record from Alexandria via LeMat-Bulk describes a relaxed structure of Zr4Ni3Ir2. The functional is GGA-PBE.

```
Zr4Ni3Ir2
1.0
4.5504 -2.2162 0.0000
4.5504 2.2162 0.0000
-1.0995 0.0000 7.5901
Zr Ni Ir
4 3 2
Cartesian
0.4060 0.0000 2.5865 Zr
3.1652 0.0000 0.7601 Zr
4.8362 0.0000 6.8300 Zr
7.5954 0.0000 5.0035 Zr
0.0000 0.0000 0.0000 Ni
2.8432 0.0000 3.5021 Ni
5.1582 0.0000 4.0880 Ni
1.3181 0.0000 5.6475 Ir
6.6833 0.0000 1.9426 Ir
```

## Properties
Space-group type = C2/m (12)
Magnetization = 0.0 μB/f.u.
Density = 10.04 g/cm³
VASP energy = -8.191 eV per atom

=====

This record from Alexandria via LeMat-Bulk describes a relaxed structure of Zr2Ni2Ir. The functional is GGA-PBE.

```
Zr2Ni2Ir
1.0
6.8932 0.0000 0.0000
0.0000 6.8932 0.0000
0.0000 0.0000 3.3436
Zr Ni Ir
4 4 2
Cartesian
1.2471 2.1995 0.0000 Zr
2.1995 5.6461 0.0000 Zr
4.6937 1.2471 0.0000 Zr
5.6461 4.6937 0.0000 Zr
0.8425 4.2891 1.6718 Ni
2.6041 0.8425 1.6718 Ni
4.2891 6.0507 1.6718 Ni
6.0507 2.6041 1.6718 Ni
0.0000 0.0000 1.6718 Ir
3.4466 3.4466 1.6718 Ir
```

## Properties
Space-group type = P4/mbm (127)
Magnetization = 0.0 μB/f.u.
Density = 10.29 g/cm³
VASP energy = -8.068 eV per atom

=====

This record from Alexandria via LeMat-Bulk describes a relaxed structure of ZrNi2Ir2. The functional is GGA-PBE.

```
ZrNi2Ir2
1.0
7.1947 0.0000 0.0000
0.0000 7.1947 0.0000
0.0000 0.0000 2.8326
Zr Ni Ir
2 4 4
Cartesian
0.0000 0.0000 0.0000 Zr
3.5974 3.5974 0.0000 Zr
1.2093 2.3880 1.4163 Ni
2.3880 5.9854 1.4163 Ni
4.8067 1.2093 1.4163 Ni
5.9854 4.8067 1.4163 Ni
0.9363 4.5336 0.0000 Ir
2.6611 0.9363 0.0000 Ir
4.5336 6.2585 0.0000 Ir
6.2585 2.6611 0.0000 Ir
```

## Properties
Space-group type = P4/mbm (127)
Magnetization = 0.0 μB/f.u.
Density = 13.43 g/cm³
VASP energy = -7.766 eV per atom
Excess energy over the best structure of this formula in the dataset = 0.060 eV/atom

=====

This record from Alexandria via LeMat-Bulk describes a relaxed structure of ZrNiIr2. The functional is GGA-PBE.

```
ZrNiIr2
1.0
2.8056 0.0000 0.0000
-1.4028 2.4298 0.0000
0.0000 0.0000 27.0836
Zr Ni Ir
3 3 6
Cartesian
0.0000 0.0000 0.0000 Zr
0.0000 1.6198 18.0558 Zr
1.4028 0.8099 9.0279 Zr
0.0000 0.0000 20.3879 Ni
0.0000 1.6198 11.3600 Ni
1.4028 0.8099 2.3321 Ni
0.0000 0.0000 6.5710 Ir
0.0000 0.0000 13.4008 Ir
0.0000 1.6198 4.3729 Ir
0.0000 1.6198 24.6268 Ir
1.4028 0.8099 15.5989 Ir
1.4028 0.8099 22.4287 Ir
```

## Properties
Space-group type = R3m (160)
Magnetization = 0.0 μB/f.u.
Density = 14.42 g/cm³
VASP energy = -7.944 eV per atom